[1]
Here is a relaxed structure of Ho8P3SeS4 from the Alexandria database. Energies are from GGA-PBE.

Lattice parameters (Å, degrees): 7.884 7.884 7.884 60.23 60.23 60.23
Positions (direct):
Ho 0.237 0.756 0.756
Ho 0.244 0.244 0.763
Ho 0.244 0.763 0.244
Ho 0.247 0.247 0.247
Ho 0.753 0.753 0.753
Ho 0.756 0.237 0.756
Ho 0.756 0.756 0.237
Ho 0.763 0.244 0.244
P 0.000 0.000 0.500
P 0.000 0.500 0.000
P 0.500 0.000 0.000
Se 0.500 0.500 0.500
S 0.000 0.000 0.000
S 0.000 0.500 0.500
S 0.500 0.000 0.500
S 0.500 0.500 0.000

Output
E_tot = -102.75 eV per cell
Calculated volume = 21.8 A^3/atom
Spin magnetization = 0.000 μB per formula unit



[2]
Here is a relaxed structure of LiPmNdAu from the Alexandria database. Energies are from GGA-PBE.

Lattice parameters (Å, degrees): 5.261 5.261 5.261 60.00 60.00 60.00
Positions (direct):
Li 0.000 0.000 0.000
Pm 0.750 0.750 0.750
Nd 0.250 0.250 0.250
Au 0.500 0.500 0.500

Output
Excess energy over the best structure of this formula in the dataset = 0.11 eV/f.u.
Calculated volume = 25.7 A^3/atom
Spin magnetization = 0.004 μB per formula unit
Formation energy = -0.33 eV per atom



[3]
Here is a relaxed structure of AsPtSe2 from the Alexandria database. Energies are from GGA-PBE.

Lattice parameters (Å, degrees): 3.906 4.612 5.345 65.04 76.86 85.59
Positions (direct):
As 0.000 0.000 0.000
Pt 0.577 0.769 0.851
Se 0.145 0.555 0.657
Se 0.647 0.241 0.324

Output
E_tot = -18.30 eV per cell
Calculated volume = 21.2 A^3/atom
Spin magnetization = 0.000 μB per formula unit



[4]
Here is a relaxed structure of TlPdPb4 from the Alexandria database. Energies are from GGA-PBE.

Lattice parameters (Å, degrees): 8.773 8.773 8.773 133.07 133.07 68.54
Positions (direct):
Tl 0.000 0.000 0.000
Tl 0.500 0.500 0.000
Pd 0.250 0.250 0.000
Pd 0.750 0.750 0.000
Pb 0.013 0.513 0.830
Pb 0.183 0.013 0.500
Pb 0.317 0.817 0.830
Pb 0.487 0.317 0.500
Pb 0.513 0.683 0.500
Pb 0.683 0.183 0.170
Pb 0.817 0.987 0.500
Pb 0.987 0.487 0.170

Output
Excess energy over the best structure of this formula in the dataset = 0.00 eV/f.u.
Calculated volume = 29.5 A^3/atom
Spin magnetization = 0.000 μB per formula unit
Formation energy = -0.07 eV per atom